w | Here is a relaxed structure of K2Hg2Ge from the Alexandria database. Energies are from PBE-GGA.

Lattice parameters (Å, degrees): 9.8923 9.8923 3.4407 90.00 90.00 90.00
Fractional positions:
K 0.3145 0.8145 0.0000
K 0.8145 0.6855 0.0000
K 0.6855 0.1855 0.0000
K 0.1855 0.3145 0.0000
Ge 0.0000 0.0000 0.0000
Ge 0.5000 0.5000 0.0000
Hg 0.1098 0.6098 0.5000
Hg 0.6098 0.8902 0.5000
Hg 0.8902 0.3902 0.5000
Hg 0.3902 0.1098 0.5000

Fermi-level density of states: 2.3 states/eV/cell



x | Here is a relaxed structure of K2Hg2Ge from the Alexandria database. Energies are from PBE-GGA.

Lattice parameters (Å, degrees): 7.5847 7.5847 5.6011 90.00 90.00 90.00
Fractional positions:
K 0.1764 0.6764 0.5000
K 0.6764 0.8236 0.5000
K 0.8236 0.3236 0.5000
K 0.3236 0.1764 0.5000
Ge 0.0000 0.0000 0.0000
Ge 0.5000 0.5000 0.0000
Hg 0.3541 0.8541 0.0000
Hg 0.8541 0.6459 0.0000
Hg 0.6459 0.1459 0.0000
Hg 0.1459 0.3541 0.0000

Fermi-level density of states: 3.3 states/eV/cell



Q: Which of them is the most stable? A: x.